A plane-wave DFT calculation with GGA+U was carried out for KCoPtO6 after structural relaxation.

Geometry as POSCAR:
```
KCoPtO6
1.0
2.524 -4.435 0.000
2.524 4.435 0.000
-0.052 0.000 6.096
K Co Pt O
1 1 1 6
Cartesian
0.000 0.000 0.000
2.498 1.432 3.048
2.498 -1.465 3.048
1.611 2.755 4.092
0.991 1.575 2.035
3.384 2.755 2.004
1.890 0.060 4.127
3.106 0.060 1.969
4.005 1.575 4.061
```

The density of states at the Fermi level comes out at 2.5 states/eV/f.u. The density comes out at 4.7 g cm⁻³. The value obtained for the total moment is 4.04 μB per formula unit. The calculation puts the total energy at -5.2539 eV/atom.